Compound: SbI2Br2
Source: Alexandria via LeMat-Bulk
Functional: PBE
Structure: optimized geometry

a = 7.6183 Å, b = 7.6183 Å, c = 8.2903 Å
α = 90.00°, β = 90.00°, γ = 90.00°
Closest atoms and distances in Å follow each position.
Fractional coordinates of all 10 atoms:
1 I 0.1254 0.6254 0.5000  1 I 2.70
2 I 0.6254 0.8746 0.5000  1 I 2.70
3 I 0.8746 0.3746 0.5000  1 I 2.70
4 I 0.3746 0.1254 0.5000  1 I 2.70
5 Sb 0.0000 0.0000 0.0000  4 Br 2.80
6 Sb 0.5000 0.5000 0.0000  4 Br 2.80
7 Br 0.3212 0.8212 0.0000  2 Sb 2.80
8 Br 0.8212 0.6788 0.0000  2 Sb 2.80
9 Br 0.6788 0.1788 0.0000  2 Sb 2.80
10 Br 0.1788 0.3212 0.0000  2 Sb 2.80

SG: P4/mbm, No. 127
Energy (eV/atom): -2.165
M_tot (μB/f.u.): 0.8
Formation energy from raw total energies (meV per atom): -51